## InNiWF2 (PBE+U)

Data for a geometry-optimized InNiWF2 structure.

CIF file:
```
data_InNiWF2
_chemical_formula_sum 'In1 Ni1 W1 F2'
_space_group_name_H-M_alt 'P 4/m m m'
_space_group_IT_number 123
_space_group_name_Hall '-P 4 2'
_cell_length_a 3.995
_cell_length_b 3.995
_cell_length_c 6.250
_cell_angle_alpha 90.00
_cell_angle_beta 90.00
_cell_angle_gamma 90.00
loop_
_atom_site_label
_atom_site_fract_x
_atom_site_fract_y
_atom_site_fract_z
In1 0.000 0.000 0.000
Ni1 0.500 0.500 0.500
W1 0.000 0.000 0.500
F1 0.000 0.500 0.000
```

Output
DFT total energy (eV/atom): -2.84